No. 1
Pm2PrDy5Y | PBE-GGA | optimized geometry

The value obtained for the formation energy is 264 meV per atom.

```
Pm2PrDy5Y
1.0
-4.3939 4.3939 7.7202
4.3939 -4.3939 7.7202
4.3939 4.3939 -7.7202
Pm Pr Dy Y
4 2 10 2
Direct
0.1160 0.6160 0.7320 Pm
0.3840 0.1160 0.5000 Pm
0.6160 0.8840 0.5000 Pm
0.8840 0.3840 0.2680 Pm
0.2500 0.2500 0.0000 Pr
0.7500 0.7500 0.0000 Pr
0.0000 0.0000 0.0000 Dy
0.0735 0.1538 0.5000 Dy
0.1538 0.6538 0.0803 Dy
0.3462 0.4265 0.5000 Dy
0.4265 0.9265 0.0803 Dy
0.5000 0.5000 0.0000 Dy
0.5735 0.0735 0.9197 Dy
0.6538 0.5735 0.5000 Dy
0.8462 0.3462 0.9197 Dy
0.9265 0.8462 0.5000 Dy
0.2500 0.7500 0.5000 Y
0.7500 0.2500 0.5000 Y
```

***

No. 2
Pm2Pr5DyY | PBE-GGA | optimized geometry

The value obtained for the formation energy is 276 meV per atom.

```
Pm2Pr5DyY
1.0
-4.3555 4.3555 8.4049
4.3555 -4.3555 8.4049
4.3555 4.3555 -8.4049
Pm Pr Dy Y
4 10 2 2
Direct
0.1210 0.6210 0.7420 Pm
0.3790 0.1210 0.5000 Pm
0.6210 0.8790 0.5000 Pm
0.8790 0.3790 0.2580 Pm
0.0000 0.0000 0.0000 Pr
0.0742 0.1405 0.5000 Pr
0.1405 0.6405 0.0663 Pr
0.3595 0.4258 0.5000 Pr
0.4258 0.9258 0.0663 Pr
0.5000 0.5000 0.0000 Pr
0.5742 0.0742 0.9337 Pr
0.6405 0.5742 0.5000 Pr
0.8595 0.3595 0.9337 Pr
0.9258 0.8595 0.5000 Pr
0.2500 0.2500 0.0000 Dy
0.7500 0.7500 0.0000 Dy
0.2500 0.7500 0.5000 Y
0.7500 0.2500 0.5000 Y
```

***

No. 3
Pm2PrDyY2 | PBE-GGA | optimized geometry

The value obtained for the formation energy is 273 meV per atom.

```
Pm2PrDyY2
1.0
6.6614 0.0000 0.0000
0.0000 18.0867 0.0000
0.0000 0.0000 3.4192
Pm Pr Dy Y
4 2 2 4
Direct
0.2277 0.1834 0.0000 Pm
0.2723 0.6834 0.5000 Pm
0.7277 0.3166 0.5000 Pm
0.7723 0.8166 0.0000 Pm
0.0000 0.0000 0.0000 Pr
0.5000 0.5000 0.5000 Pr
0.0000 0.5000 0.0000 Dy
0.5000 0.0000 0.5000 Dy
0.2231 0.3510 0.5000 Y
0.2769 0.8510 0.0000 Y
0.7231 0.1490 0.0000 Y
0.7769 0.6490 0.5000 Y
```

***

No. 4
PmPr2Dy2Y2 | PBE-GGA | optimized geometry

The value obtained for the formation energy is 84 meV per atom.

```
PmPr2Dy2Y2
1.0
5.9389 -1.7727 0.0000
5.9389 1.7727 0.0000
-3.7977 0.0000 11.3104
Pm Pr Dy Y
1 2 2 2
Direct
0.0000 0.0000 0.0000 Pm
0.3275 0.3275 0.4146 Pr
0.6725 0.6725 0.5854 Pr
0.2270 0.2270 0.8646 Dy
0.7730 0.7730 0.1354 Dy
0.4514 0.4514 0.7287 Y
0.5486 0.5486 0.2713 Y
```

***

No. 5
PmPrDy2Y2 | PBE-GGA | optimized geometry

The value obtained for the formation energy is 285 meV per atom.

```
PmPrDy2Y2
1.0
6.6824 0.0000 0.0000
0.0000 17.8501 0.0000
0.0000 0.0000 3.4091
Pm Pr Dy Y
2 2 4 4
Direct
0.0000 0.0000 0.0000 Pm
0.5000 0.5000 0.5000 Pm
0.0000 0.5000 0.0000 Pr
0.5000 0.0000 0.5000 Pr
0.2298 0.3198 0.0000 Dy
0.2702 0.8198 0.5000 Dy
0.7298 0.1802 0.5000 Dy
0.7702 0.6802 0.0000 Dy
0.2269 0.1526 0.5000 Y
0.2731 0.6526 0.0000 Y
0.7269 0.3474 0.0000 Y
0.7731 0.8474 0.5000 Y
```

***

No. 6
Pm6Pr3DyY2 | PBE-GGA | optimized geometry

The value obtained for the formation energy is 15 meV per atom.

```
Pm6Pr3DyY2
1.0
3.1614 -5.4767 0.0000
3.1614 5.4767 0.0000
-2.1083 0.0000 11.8861
Pm Pr Dy Y
6 3 1 2
Direct
0.0822 0.4146 0.2456 Pm
0.2504 0.2504 0.7542 Pm
0.4146 0.0822 0.2456 Pm
0.5854 0.9178 0.7544 Pm
0.7496 0.7496 0.2458 Pm
0.9178 0.5854 0.7544 Pm
0.1667 0.8333 0.5000 Pr
0.5000 0.5000 0.5000 Pr
0.8333 0.1667 0.5000 Pr
0.0000 0.0000 0.0000 Dy
0.3334 0.6666 0.0000 Y
0.6666 0.3334 0.0000 Y
```

***

No. 7
PmPr2Dy2Y6 | PBE-GGA | optimized geometry

The value obtained for the formation energy is 183 meV per atom.

```
PmPr2Dy2Y6
1.0
3.0854 -5.3563 0.0000
3.0854 5.3563 0.0000
-2.1154 0.0000 11.6033
Pm Pr Dy Y
1 2 2 6
Direct
0.0000 0.0000 0.0000 Pm
0.1660 0.8340 0.5000 Pr
0.8340 0.1660 0.5000 Pr
0.3352 0.6648 0.0000 Dy
0.6648 0.3352 0.0000 Dy
0.0849 0.4183 0.2480 Y
0.2502 0.2502 0.7529 Y
0.4183 0.0849 0.2480 Y
0.5817 0.9151 0.7520 Y
0.7498 0.7498 0.2471 Y
0.9151 0.5817 0.7520 Y
```

***

No. 8
PmPr2DyY5 | PBE-GGA | optimized geometry

The value obtained for the formation energy is 248 meV per atom.

```
PmPr2DyY5
1.0
-4.3769 4.3769 7.8558
4.3769 -4.3769 7.8558
4.3769 4.3769 -7.8558
Pm Pr Dy Y
2 4 2 10
Direct
0.2500 0.2500 0.0000 Pm
0.7500 0.7500 0.0000 Pm
0.1176 0.6176 0.7351 Pr
0.3824 0.1176 0.5000 Pr
0.6176 0.8824 0.5000 Pr
0.8824 0.3824 0.2649 Pr
0.2500 0.7500 0.5000 Dy
0.7500 0.2500 0.5000 Dy
0.0000 0.0000 0.0000 Y
0.0716 0.1510 0.5000 Y
0.1510 0.6510 0.0794 Y
0.3490 0.4284 0.5000 Y
0.4284 0.9284 0.0794 Y
0.5000 0.5000 0.0000 Y
0.5716 0.0716 0.9206 Y
0.6510 0.5716 0.5000 Y
0.8490 0.3490 0.9206 Y
0.9284 0.8490 0.5000 Y
```